1.
# NbAs3Pd | Alexandria via LeMat-Bulk | PBEsol | relaxed
data_NbAs3Pd
_space_group_name_H-M_alt 'P m -3 m'
_space_group_IT_number 221
_space_group_name_Hall '-P 4 2 3'
_cell_length_a 4.722
_cell_length_b 4.722
_cell_length_c 4.722
_cell_angle_alpha 90.00
_cell_angle_beta 90.00
_cell_angle_gamma 90.00
loop_
_atom_site_label
_atom_site_type_symbol
_atom_site_fract_x
_atom_site_fract_y
_atom_site_fract_z
Nb1 Nb 0.000 0.000 0.000
As1 As 0.000 0.500 0.500
Pd1 Pd 0.500 0.500 0.500
# Formation enthalpy at 0 K   0.81 eV/atom
# V   105.26 Å³/f.u.
# DOS at the Fermi energy   4.734 states/eV/f.u.

---

2.
# NbTeAs2Pd | Alexandria via LeMat-Bulk | PBEsol | relaxed
data_NbTeAs2Pd
_space_group_name_H-M_alt 'P 4/m m m'
_space_group_IT_number 123
_space_group_name_Hall '-P 4 2'
_cell_length_a 4.657
_cell_length_b 4.657
_cell_length_c 5.288
_cell_angle_alpha 90.00
_cell_angle_beta 90.00
_cell_angle_gamma 90.00
loop_
_atom_site_label
_atom_site_type_symbol
_atom_site_fract_x
_atom_site_fract_y
_atom_site_fract_z
Nb1 Nb 0.000 0.000 0.000
Te1 Te 0.500 0.500 0.000
As1 As 0.000 0.500 0.500
Pd1 Pd 0.000 0.000 0.500
# V   114.70 Å³/f.u.
# DOS at the Fermi energy   4.734 states/eV/f.u.
# Energy relative to the elements, uncorrected   0.71 eV per atom